[1]
VASP calculation (PBE) on an optimized crystal structure of EuAgSnAu.

Cell and atoms, written as extended XYZ:
```
4
Lattice="0.000 3.591 3.591 3.591 0.000 3.591 3.591 3.591 0.000" Properties=species:S:1:pos:R:3 pbc="T T T"
Eu 0.000 0.000 0.000
Ag 5.386 5.386 5.386
Sn 3.591 3.591 3.591
Au 1.795 1.795 1.795
```

Output
E_form, meV/atom: -471
Space group: F-43m, No. 216
Fermi-level density of states, states/eV per atom: 3.312

***

[2]
VASP calculation (PBE) on an optimized crystal structure of AsSeCl2.

Cell and atoms, written as extended XYZ:
```
4
Lattice="0.000 3.456 3.456 3.456 0.000 3.456 3.456 3.456 0.000" Properties=species:S:1:pos:R:3 pbc="T T T"
As 0.000 0.000 0.000
Se 3.456 3.456 3.456
Cl 1.728 1.728 1.728
Cl 5.184 5.184 5.184
```

Output
Uncorrected formation energy, eV/f.u.: 2.47
Space group: Fm-3m, No. 225
Fermi-level density of states, states/eV per atom: 0.613

***

[3]
VASP calculation (PBE) on an optimized crystal structure of Zr2Ti4P.

Cell and atoms, written as extended XYZ:
```
7
Lattice="-2.221 2.221 7.544 2.221 -2.221 7.544 2.221 2.221 -7.544" Properties=species:S:1:pos:R:3 pbc="T T T"
Zr 0.000 0.000 2.220
Zr 0.000 0.000 12.867
Ti 2.221 0.000 0.000
Ti 0.000 0.000 5.259
Ti 0.000 2.221 0.000
Ti 0.000 0.000 9.828
P 0.000 0.000 7.544
```

Output
E_form, meV/atom: 172
Space group: I4/mmm, No. 139
Fermi-level density of states, states/eV per atom: 1.097

***

[4]
VASP calculation (PBE) on an optimized crystal structure of KSnI3.

Cell and atoms, written as extended XYZ:
```
20
Lattice="8.840 0.000 0.000 0.000 12.049 0.000 0.000 0.000 8.289" Properties=species:S:1:pos:R:3 pbc="T T T"
K 0.796 3.012 0.290
K 3.624 9.037 4.435
K 5.216 3.012 3.855
K 8.044 9.037 7.999
Sn 0.000 0.000 4.145
Sn 0.000 6.024 4.145
Sn 4.420 0.000 0.000
Sn 4.420 6.024 0.000
I 0.286 9.037 3.138
I 1.715 6.736 6.739
I 1.715 11.338 6.739
I 2.705 0.711 2.594
I 2.705 5.313 2.594
I 4.134 3.012 7.283
I 4.706 9.037 1.007
I 6.135 6.736 5.695
I 6.135 11.338 5.695
I 7.125 0.711 1.550
I 7.125 5.313 1.550
I 8.553 3.012 5.152
```

Output
Uncorrected formation energy, eV/f.u.: -4.47
Space group: Pnma, No. 62
Fermi-level density of states, states/eV per atom: 0.000